4
Lattice="-0.123 -3.884 1.627 2.862 -1.178 2.858 -4.725 1.385 8.407" Properties=species:S:1:pos:R:3 comment="SrCuBi2 | Alexandria via LeMat-Bulk | PBE-GGA | optimized geometry" formation_enthalpy_0k_kj_per_mol_atoms=12.4 n_ef_per_ev_cell=3.4 pbc="T T T"
Sr 0.000 0.000 0.000
Cu -0.992 -1.839 6.446
Bi -2.660 0.260 5.876
Bi 0.675 -3.937 7.016